## Al2Fe5Pd12 (PBE)

Data for a relaxed structure of Al2Fe5Pd12.

a = 6.602 Å, b = 6.602 Å, c = 6.713 Å
α = 100.25°, β = 100.25°, γ = 81.18°
Sites, in units of the cell vectors:
Al1 0.236 0.764 0.000
Al2 0.764 0.236 0.000
Fe1 0.000 0.000 0.500
Fe2 0.254 0.254 0.524
Fe3 0.365 0.365 0.914
Fe4 0.635 0.635 0.086
Fe5 0.746 0.746 0.476
Pd1 0.022 0.621 0.202
Pd2 0.144 0.646 0.619
Pd3 0.150 0.150 0.123
Pd4 0.354 0.856 0.381
Pd5 0.379 0.978 0.798
Pd6 0.436 0.436 0.296
Pd7 0.564 0.564 0.704
Pd8 0.621 0.022 0.202
Pd9 0.646 0.144 0.619
Pd10 0.850 0.850 0.877
Pd11 0.856 0.354 0.381
Pd12 0.978 0.379 0.798

Values from the calculation:
Crystal system: monoclinic


## LaTbSc2In4 (PBE)

Data for a relaxed structure of LaTbSc2In4.

a = 9.146 Å, b = 9.146 Å, c = 9.146 Å
α = 33.43°, β = 33.43°, γ = 33.43°
Sites, in units of the cell vectors:
La1 0.000 0.000 0.000
Tb1 0.500 0.500 0.500
Sc1 0.250 0.250 0.250
Sc2 0.750 0.750 0.750
In1 0.127 0.127 0.127
In2 0.377 0.377 0.377
In3 0.623 0.623 0.623
In4 0.873 0.873 0.873

Values from the calculation:
Crystal system: trigonal


## ZrCr3Rh (PBE)

Data for a relaxed structure of ZrCr3Rh.

a = 4.421 Å, b = 4.421 Å, c = 4.421 Å
α = 90.00°, β = 90.00°, γ = 90.00°
Sites, in units of the cell vectors:
Zr1 0.000 0.000 0.000
Cr1 0.000 0.000 0.500
Cr2 0.000 0.500 0.000
Cr3 0.500 0.000 0.000
Rh1 0.500 0.500 0.500

Values from the calculation:
Crystal system: cubic


## Ba3Tl3Pb (PBE)

Data for a relaxed structure of Ba3Tl3Pb.

a = 7.093 Å, b = 7.093 Å, c = 17.891 Å
α = 106.68°, β = 106.68°, γ = 40.94°
Sites, in units of the cell vectors:
Ba1 0.020 0.020 0.387
Ba2 0.109 0.109 0.925
Ba3 0.234 0.234 0.230
Ba4 0.766 0.766 0.770
Ba5 0.891 0.891 0.075
Ba6 0.980 0.980 0.613
Tl1 0.347 0.347 0.467
Tl2 0.393 0.393 0.922
Tl3 0.489 0.489 0.772
Tl4 0.511 0.511 0.228
Tl5 0.607 0.607 0.078
Tl6 0.653 0.653 0.533
Pb1 0.275 0.275 0.626
Pb2 0.725 0.725 0.374

Values from the calculation:
Crystal system: monoclinic


## Na3Hf3ZrSe8 (PBE)

Data for a relaxed structure of Na3Hf3ZrSe8.

a = 7.571 Å, b = 7.571 Å, c = 8.457 Å
α = 116.49°, β = 116.49°, γ = 60.07°
Sites, in units of the cell vectors:
Na1 0.000 0.000 0.000
Na2 0.000 0.500 0.000
Na3 0.500 0.000 0.000
Hf1 0.000 0.500 0.500
Hf2 0.500 0.000 0.500
Hf3 0.500 0.500 0.500
Zr1 0.000 0.000 0.500
Se1 0.244 0.244 0.723
Se2 0.244 0.735 0.723
Se3 0.259 0.259 0.277
Se4 0.265 0.756 0.277
Se5 0.735 0.244 0.723
Se6 0.741 0.741 0.723
Se7 0.756 0.265 0.277
Se8 0.756 0.756 0.277

Values from the calculation:
Crystal system: monoclinic
E_form (uncorrected), eV per atom: -1.306


## Pr4GeAs2Se (PBE)

Data for a relaxed structure of Pr4GeAs2Se.

a = 7.468 Å, b = 4.294 Å, c = 7.475 Å
α = 90.00°, β = 109.30°, γ = 90.00°
Sites, in units of the cell vectors:
Pr1 0.245 0.000 0.243
Pr2 0.248 0.500 0.751
Pr3 0.752 0.500 0.249
Pr4 0.755 0.000 0.757
Ge1 0.500 0.000 0.000
As1 0.000 0.000 0.500
As2 0.000 0.500 0.000
Se1 0.500 0.500 0.500

Values from the calculation:
Crystal system: monoclinic
E_form (uncorrected), eV per atom: -1.455


## NbRu3Cl (PBE)

Data for a relaxed structure of NbRu3Cl.

a = 4.340 Å, b = 4.340 Å, c = 4.340 Å
α = 90.00°, β = 90.00°, γ = 90.00°
Sites, in units of the cell vectors:
Nb1 0.000 0.000 0.000
Ru1 0.000 0.500 0.500
Ru2 0.500 0.000 0.500
Ru3 0.500 0.500 0.000
Cl1 0.500 0.500 0.500

Values from the calculation:
Crystal system: cubic
E_form (uncorrected), eV per atom: 1.011


## PdRuSe (PBE)

Data for a relaxed structure of PdRuSe.

a = 3.825 Å, b = 3.059 Å, c = 8.174 Å
α = 90.00°, β = 90.08°, γ = 90.00°
Sites, in units of the cell vectors:
Pd1 0.250 0.250 0.091
Pd2 0.750 0.750 0.909
Ru1 0.251 0.750 0.400
Ru2 0.749 0.250 0.600
Se1 0.250 0.750 0.701
Se2 0.750 0.250 0.299

Values from the calculation:
Crystal system: monoclinic
E_form (uncorrected), eV per atom: 0.052


## Al2OsCl (PBE)

Data for a relaxed structure of Al2OsCl.

a = 3.028 Å, b = 3.102 Å, c = 7.211 Å
α = 90.00°, β = 90.00°, γ = 90.00°
Sites, in units of the cell vectors:
Al1 0.000 0.000 0.194
Al2 0.000 0.000 0.806
Os1 0.500 0.500 0.000
Cl1 0.500 0.000 0.500

Values from the calculation:
Crystal system: orthorhombic
E_form (uncorrected), eV per atom: -0.476


## AlZnOs3 (PBE)

Data for a relaxed structure of AlZnOs3.

a = 4.469 Å, b = 4.469 Å, c = 4.469 Å
α = 90.00°, β = 90.00°, γ = 90.00°
Sites, in units of the cell vectors:
Al1 0.000 0.000 0.000
Zn1 0.500 0.500 0.500
Os1 0.000 0.500 0.500
Os2 0.500 0.000 0.500
Os3 0.500 0.500 0.000

Values from the calculation:
Crystal system: cubic


## Zr2RhW (PBE)

Data for a relaxed structure of Zr2RhW.

a = 2.988 Å, b = 2.988 Å, c = 8.573 Å
α = 90.00°, β = 90.00°, γ = 105.78°
Sites, in units of the cell vectors:
Zr1 0.000 0.000 0.239
Zr2 0.000 0.000 0.761
Rh1 0.500 0.500 0.000
W1 0.500 0.500 0.500

Values from the calculation:
Crystal system: orthorhombic


## K3ScF (PBE)

Data for a relaxed structure of K3ScF.

a = 5.700 Å, b = 5.700 Å, c = 5.700 Å
α = 90.00°, β = 90.00°, γ = 90.00°
Sites, in units of the cell vectors:
K1 0.000 0.000 0.500
K2 0.000 0.500 0.000
K3 0.500 0.000 0.000
Sc1 0.500 0.500 0.500
F1 0.000 0.000 0.000

Values from the calculation:
Crystal system: cubic
E_form (uncorrected), eV per atom: -0.524


## SmDy6S8 (PBE)

Data for a relaxed structure of SmDy6S8.

a = 7.809 Å, b = 7.809 Å, c = 7.809 Å
α = 60.00°, β = 60.00°, γ = 60.00°
Sites, in units of the cell vectors:
Sm1 0.000 0.000 0.000
Dy1 0.000 0.000 0.500
Dy2 0.000 0.500 0.000
Dy3 0.000 0.500 0.500
Dy4 0.500 0.000 0.000
Dy5 0.500 0.000 0.500
Dy6 0.500 0.500 0.000
S1 0.250 0.250 0.250
S2 0.255 0.255 0.745
S3 0.255 0.745 0.255
S4 0.255 0.745 0.745
S5 0.745 0.255 0.255
S6 0.745 0.255 0.745
S7 0.745 0.745 0.255
S8 0.750 0.750 0.750

Values from the calculation:
Crystal system: cubic
E_form (uncorrected), eV per atom: -2.042


## Nd2AgI (PBE)

Data for a relaxed structure of Nd2AgI.

a = 8.513 Å, b = 8.513 Å, c = 8.513 Å
α = 28.99°, β = 28.99°, γ = 28.99°
Sites, in units of the cell vectors:
Nd1 0.000 0.000 0.000
Nd2 0.189 0.189 0.189
Ag1 0.595 0.595 0.595
I1 0.427 0.427 0.427

Values from the calculation:
Crystal system: trigonal
E_form (uncorrected), eV per atom: -0.483


## FeSiRh2 (PBE)

Data for a relaxed structure of FeSiRh2.

a = 4.321 Å, b = 2.791 Å, c = 4.763 Å
α = 90.00°, β = 111.68°, γ = 90.00°
Sites, in units of the cell vectors:
Fe1 0.000 0.000 0.000
Si1 0.000 0.500 0.500
Rh1 0.500 0.000 0.500
Rh2 0.500 0.500 0.000

Values from the calculation:
Crystal system: monoclinic
E_form (uncorrected), eV per atom: -0.271


## Ti2GaP2 (PBE)

Data for a relaxed structure of Ti2GaP2.

a = 6.862 Å, b = 6.862 Å, c = 3.276 Å
α = 90.00°, β = 90.00°, γ = 90.00°
Sites, in units of the cell vectors:
Ti1 0.149 0.351 0.000
Ti2 0.351 0.851 0.000
Ti3 0.649 0.149 0.000
Ti4 0.851 0.649 0.000
Ga1 0.000 0.000 0.000
Ga2 0.500 0.500 0.000
P1 0.145 0.645 0.500
P2 0.355 0.145 0.500
P3 0.645 0.855 0.500
P4 0.855 0.355 0.500

Values from the calculation:
Crystal system: tetragonal


## LiDyThHg (PBE)

Data for a relaxed structure of LiDyThHg.

a = 5.294 Å, b = 5.294 Å, c = 5.294 Å
α = 60.00°, β = 60.00°, γ = 60.00°
Sites, in units of the cell vectors:
Li1 0.000 0.000 0.000
Dy1 0.750 0.750 0.750
Th1 0.250 0.250 0.250
Hg1 0.500 0.500 0.500

Values from the calculation:
Crystal system: cubic


## Tm5TlIn2Pb (PBE)

Data for a relaxed structure of Tm5TlIn2Pb.

a = 10.122 Å, b = 10.122 Å, c = 10.122 Å
α = 134.71°, β = 134.71°, γ = 65.97°
Sites, in units of the cell vectors:
Tm1 0.000 0.000 0.000
Tm2 0.067 0.567 0.899
Tm3 0.168 0.067 0.500
Tm4 0.332 0.832 0.899
Tm5 0.433 0.332 0.500
Tm6 0.500 0.500 0.000
Tm7 0.567 0.668 0.500
Tm8 0.668 0.168 0.101
Tm9 0.832 0.933 0.500
Tm10 0.933 0.433 0.101
Tl1 0.250 0.250 0.000
Tl2 0.750 0.750 0.000
In1 0.123 0.377 0.500
In2 0.377 0.877 0.254
In3 0.623 0.123 0.746
In4 0.877 0.623 0.500
Pb1 0.250 0.750 0.500
Pb2 0.750 0.250 0.500

Values from the calculation:
Crystal system: tetragonal


| no. | calculated total energy (eV for the cell shown) |
| --- | --- |
| 1 | -115.4 |
| 2 | -36.6 |
| 3 | -34.4 |
| 4 | -38.8 |
| 5 | -89.8 |
| 6 | -48.2 |
| 7 | -34.7 |
| 8 | -35.6 |
| 9 | -22.5 |
| 10 | -29.2 |
| 11 | -38.0 |
| 12 | -14.1 |
| 13 | -96.0 |
| 14 | -15.9 |
| 15 | -29.7 |
| 16 | -66.0 |
| 17 | -14.5 |
| 18 | -72.3 |